11
Lattice="8.011 -3.369 0.000 8.011 3.369 0.000 -0.157 0.000 7.312" Properties=species:S:1:pos:R:3 comment="Sr2PtBr8 PBE optimized geometry" raw_formation_energy_ev_per_atom=-1.233 spacegroup="C2/m (12)" volume_a3_per_cell=394.7 total_magnetization_mub_per_fu=0.00 pbc="T T T"
Sr 2.197 0.000 0.278
Sr 13.667 0.000 7.033
Pt -0.079 0.000 3.656
Br 2.426 0.000 3.393
Br 7.713 1.700 1.813
Br 8.151 1.700 5.499
Br 4.936 0.000 6.973
Br 10.928 0.000 0.339
Br 7.713 -1.700 1.813
Br 8.151 -1.700 5.499
Br 13.438 0.000 3.919


5
Lattice="5.265 0.000 0.000 0.000 5.265 0.000 0.000 0.000 5.265" Properties=species:S:1:pos:R:3 comment="SrPtBr3 PBE optimized geometry" raw_formation_energy_ev_per_atom=-0.842 spacegroup="Pm-3m (221)" volume_a3_per_cell=145.9 total_magnetization_mub_per_fu=0.00 pbc="T T T"
Sr 0.000 0.000 0.000
Pt 2.632 2.632 2.632
Br 0.000 2.632 2.632
Br 2.632 0.000 2.632
Br 2.632 2.632 0.000


5
Lattice="5.878 0.000 0.000 0.000 5.878 0.000 0.000 0.000 5.878" Properties=species:S:1:pos:R:3 comment="SrPtBr3 PBE optimized geometry" raw_formation_energy_ev_per_atom=-0.192 spacegroup="Pm-3m (221)" volume_a3_per_cell=203.0 total_magnetization_mub_per_fu=1.00 pbc="T T T"
Sr 0.000 0.000 0.000
Pt 2.939 2.939 2.939
Br 0.000 0.000 2.939
Br 0.000 2.939 0.000
Br 2.939 0.000 0.000


6
Lattice="0.000 4.970 4.970 4.970 0.000 4.970 4.970 4.970 0.000" Properties=species:S:1:pos:R:3 comment="Sr4PtBr PBE optimized geometry" raw_formation_energy_ev_per_atom=0.288 spacegroup="F-43m (216)" volume_a3_per_cell=245.6 total_magnetization_mub_per_fu=0.00 pbc="T T T"
Sr 3.736 3.736 3.736
Sr 6.204 6.204 3.736
Sr 6.204 3.736 6.204
Sr 3.736 6.204 6.204
Pt 7.455 7.455 7.455
Br 0.000 0.000 0.000


5
Lattice="5.884 0.000 0.000 0.000 5.884 0.000 0.000 0.000 4.857" Properties=species:S:1:pos:R:3 comment="Sr2ZnPtBr PBE optimized geometry" raw_formation_energy_ev_per_atom=-0.854 spacegroup="P4/mmm (123)" volume_a3_per_cell=168.1 total_magnetization_mub_per_fu=0.00 pbc="T T T"
Sr 0.000 2.942 0.000
Sr 2.942 0.000 0.000
Zn 0.000 0.000 2.428
Pt 0.000 0.000 0.000
Br 2.942 2.942 2.428


12
Lattice="3.156 0.000 0.000 -1.578 2.733 0.000 0.000 0.000 27.473" Properties=species:S:1:pos:R:3 comment="TaPtBr2 PBE optimized geometry" raw_formation_energy_ev_per_atom=0.214 spacegroup="R-3m (166)" volume_a3_per_cell=237.0 total_magnetization_mub_per_fu=0.00 pbc="T T T"
Ta 0.000 0.000 0.000
Ta 0.000 1.822 18.315
Ta 1.578 0.911 9.158
Pt 0.000 0.000 13.737
Pt 0.000 1.822 4.579
Pt 1.578 0.911 22.894
Br 0.000 0.000 7.210
Br 0.000 0.000 20.263
Br 0.000 1.822 11.105
Br 0.000 1.822 25.525
Br 1.578 0.911 1.948
Br 1.578 0.911 16.368


4
Lattice="3.050 0.000 0.000 0.000 4.577 0.000 0.000 0.000 5.590" Properties=species:S:1:pos:R:3 comment="TaPtBr2 PBE optimized geometry" raw_formation_energy_ev_per_atom=0.601 spacegroup="Pmmm (47)" volume_a3_per_cell=78.0 total_magnetization_mub_per_fu=0.00 pbc="T T T"
Ta 0.000 0.000 0.000
Pt 1.525 0.000 2.795
Br 0.000 2.288 2.795
Br 1.525 2.288 0.000


4
Lattice="3.003 0.000 0.000 0.000 3.003 0.000 0.000 0.000 8.485" Properties=species:S:1:pos:R:3 comment="TaPt2Br PBE optimized geometry" raw_formation_energy_ev_per_atom=-0.166 spacegroup="P4/mmm (123)" volume_a3_per_cell=76.5 total_magnetization_mub_per_fu=0.00 pbc="T T T"
Ta 0.000 0.000 0.000
Pt 1.501 1.501 1.747
Pt 1.501 1.501 6.738
Br 0.000 0.000 4.243


8
Lattice="5.438 0.000 0.000 0.000 8.744 0.000 -0.388 0.000 2.941" Properties=species:S:1:pos:R:3 comment="TaPt2Br PBE optimized geometry" raw_formation_energy_ev_per_atom=0.329 spacegroup="C2/m (12)" volume_a3_per_cell=139.8 total_magnetization_mub_per_fu=0.00 pbc="T T T"
Ta 0.000 0.000 0.000
Ta 2.719 4.372 0.000
Pt 1.165 2.186 1.470
Pt 1.165 6.558 1.470
Pt 3.884 2.186 1.470
Pt 3.884 6.558 1.470
Br 0.000 4.372 0.000
Br 2.719 0.000 0.000


8
Lattice="6.053 0.000 0.000 0.000 9.011 0.000 -1.458 0.000 2.875" Properties=species:S:1:pos:R:3 comment="TaPtBr2 PBE optimized geometry" raw_formation_energy_ev_per_atom=0.520 spacegroup="C2/m (12)" volume_a3_per_cell=156.8 total_magnetization_mub_per_fu=0.00 pbc="T T T"
Ta 0.000 0.000 0.000
Ta 3.027 4.505 0.000
Pt 0.000 4.505 0.000
Pt 3.027 0.000 0.000
Br 1.513 2.253 0.000
Br 1.513 6.758 0.000
Br 4.540 2.253 0.000
Br 4.540 6.758 0.000


5
Lattice="4.950 0.000 0.000 0.000 4.950 0.000 0.000 0.000 4.950" Properties=species:S:1:pos:R:3 comment="TaPt3Br PBE optimized geometry" raw_formation_energy_ev_per_atom=1.021 spacegroup="Pm-3m (221)" volume_a3_per_cell=121.3 total_magnetization_mub_per_fu=0.00 pbc="T T T"
Ta 0.000 0.000 0.000
Pt 0.000 0.000 2.475
Pt 0.000 2.475 0.000
Pt 2.475 0.000 0.000
Br 2.475 2.475 2.475


8
Lattice="2.930 0.000 0.000 0.000 4.816 0.000 0.000 0.000 10.243" Properties=species:S:1:pos:R:3 comment="TaPt2Br PBE optimized geometry" raw_formation_energy_ev_per_atom=0.141 spacegroup="Immm (71)" volume_a3_per_cell=144.5 total_magnetization_mub_per_fu=0.00 pbc="T T T"
Ta 0.000 0.000 0.000
Ta 1.465 2.408 5.121
Pt 0.000 2.408 2.817
Pt 0.000 2.408 7.426
Pt 1.465 0.000 2.305
Pt 1.465 0.000 7.938
Br 0.000 0.000 5.121
Br 1.465 2.408 0.000


8
Lattice="8.801 0.000 0.000 0.000 3.328 0.000 -1.377 0.000 6.530" Properties=species:S:1:pos:R:3 comment="TaPt2Br PBE optimized geometry" raw_formation_energy_ev_per_atom=-0.227 spacegroup="Cm (8)" volume_a3_per_cell=191.3 total_magnetization_mub_per_fu=0.00 pbc="T T T"
Ta 0.000 0.000 0.000
Ta 4.400 1.664 0.000
Pt 1.808 1.664 0.749
Pt 3.693 0.000 1.909
Pt 6.208 0.000 0.749
Pt 8.093 1.664 1.909
Br 2.495 0.000 4.459
Br 6.895 1.664 4.459


3
Lattice="4.503 0.000 0.000 -2.252 3.900 0.000 0.000 0.000 3.071" Properties=species:S:1:pos:R:3 comment="TaPtBr PBE optimized geometry" raw_formation_energy_ev_per_atom=0.278 spacegroup="P3m1 (156)" volume_a3_per_cell=53.9 total_magnetization_mub_per_fu=0.00 pbc="T T T"
Ta 0.000 0.000 0.000
Pt 0.000 2.600 1.542
Br 2.252 1.300 0.009


16
Lattice="6.664 0.000 0.000 0.000 6.664 0.000 0.000 0.000 8.701" Properties=species:S:1:pos:R:3 comment="TaPt2Br PBE optimized geometry" raw_formation_energy_ev_per_atom=0.185 spacegroup="I-42d (122)" volume_a3_per_cell=386.4 total_magnetization_mub_per_fu=0.00 pbc="T T T"
Ta 0.000 0.000 0.000
Ta 0.000 3.332 2.175
Ta 3.332 0.000 6.526
Ta 3.332 3.332 4.350
Pt 1.478 1.666 1.088
Pt 1.666 4.810 3.263
Pt 1.666 5.186 7.613
Pt 1.854 1.666 5.438
Pt 4.810 4.998 5.438
Pt 4.998 1.478 7.613
Pt 4.998 1.854 3.263
Pt 5.186 4.998 1.088
Br 0.000 0.000 4.350
Br 0.000 3.332 6.526
Br 3.332 0.000 2.175
Br 3.332 3.332 0.000


16
Lattice="6.656 0.000 0.000 0.000 6.656 0.000 0.000 0.000 6.656" Properties=species:S:1:pos:R:3 comment="TaPtBr2 PBE optimized geometry" raw_formation_energy_ev_per_atom=0.693 spacegroup="Fm-3m (225)" volume_a3_per_cell=294.8 total_magnetization_mub_per_fu=0.00 pbc="T T T"
Ta 0.000 0.000 0.000
Ta 0.000 3.328 3.328
Ta 3.328 0.000 3.328
Ta 3.328 3.328 0.000
Pt 0.000 0.000 3.328
Pt 0.000 3.328 0.000
Pt 3.328 0.000 0.000
Pt 3.328 3.328 3.328
Br 1.664 1.664 1.664
Br 1.664 1.664 4.992
Br 1.664 4.992 1.664
Br 1.664 4.992 4.992
Br 4.992 1.664 1.664
Br 4.992 1.664 4.992
Br 4.992 4.992 1.664
Br 4.992 4.992 4.992


8
Lattice="4.265 0.000 0.000 0.000 4.265 0.000 0.000 0.000 8.228" Properties=species:S:1:pos:R:3 comment="TaPtBr2 PBE optimized geometry" raw_formation_energy_ev_per_atom=0.602 spacegroup="I4/mmm (139)" volume_a3_per_cell=149.7 total_magnetization_mub_per_fu=0.00 pbc="T T T"
Ta 0.000 0.000 0.000
Ta 2.132 2.132 4.114
Pt 0.000 0.000 4.114
Pt 2.132 2.132 0.000
Br 0.000 2.132 2.057
Br 0.000 2.132 6.171
Br 2.132 0.000 2.057
Br 2.132 0.000 6.171


12
Lattice="6.390 0.000 0.000 0.000 6.390 0.000 0.000 0.000 6.390" Properties=species:S:1:pos:R:3 comment="TaPtBr PBE optimized geometry" raw_formation_energy_ev_per_atom=0.750 spacegroup="F-43m (216)" volume_a3_per_cell=260.9 total_magnetization_mub_per_fu=0.00 pbc="T T T"
Ta 0.000 0.000 0.000
Ta 0.000 3.195 3.195
Ta 3.195 0.000 3.195
Ta 3.195 3.195 0.000
Pt 1.598 1.598 1.598
Pt 1.598 4.793 4.793
Pt 4.793 1.598 4.793
Pt 4.793 4.793 1.598
Br 0.000 0.000 3.195
Br 0.000 3.195 0.000
Br 3.195 0.000 0.000
Br 3.195 3.195 3.195


12
Lattice="2.983 0.000 0.000 -1.492 2.583 0.000 0.000 0.000 28.214" Properties=species:S:1:pos:R:3 comment="TaPt2Br PBE optimized geometry" raw_formation_energy_ev_per_atom=0.003 spacegroup="R3m (160)" volume_a3_per_cell=217.4 total_magnetization_mub_per_fu=0.00 pbc="T T T"
Ta 0.000 0.000 0.000
Ta 0.000 1.722 18.809
Ta 1.492 0.861 9.405
Pt 0.000 0.000 7.241
Pt 0.000 0.000 14.345
Pt 0.000 1.722 4.941
Pt 0.000 1.722 26.050
Pt 1.492 0.861 16.645
Pt 1.492 0.861 23.750
Br 0.000 0.000 20.818
Br 0.000 1.722 11.413
Br 1.492 0.861 2.009


4
Lattice="4.535 0.000 0.000 0.000 4.535 0.000 0.000 0.000 3.675" Properties=species:S:1:pos:R:3 comment="TaPtBr2 PBE optimized geometry" raw_formation_energy_ev_per_atom=0.833 spacegroup="P4/mmm (123)" volume_a3_per_cell=75.6 total_magnetization_mub_per_fu=0.92 pbc="T T T"
Ta 0.000 0.000 0.000
Pt 2.268 2.268 0.000
Br 0.000 2.268 1.837
Br 2.268 0.000 1.837


8
Lattice="7.141 0.000 0.000 0.000 3.362 0.000 -2.339 0.000 8.663" Properties=species:S:1:pos:R:3 comment="TaPtBr2 PBE optimized geometry" raw_formation_energy_ev_per_atom=-0.344 spacegroup="Cm (8)" volume_a3_per_cell=208.0 total_magnetization_mub_per_fu=0.27 pbc="T T T"
Ta 0.000 0.000 0.000
Ta 3.570 1.681 0.000
Pt 1.524 1.681 1.380
Pt 5.094 0.000 1.380
Br -0.499 1.681 3.146
Br 0.945 0.000 6.673
Br 3.071 0.000 3.146
Br 4.516 1.681 6.673


4
Lattice="5.063 0.000 0.000 0.000 5.063 0.000 0.000 0.000 2.817" Properties=species:S:1:pos:R:3 comment="TaPt2Br PBE optimized geometry" raw_formation_energy_ev_per_atom=0.467 spacegroup="P4/mmm (123)" volume_a3_per_cell=72.2 total_magnetization_mub_per_fu=0.00 pbc="T T T"
Ta 0.000 0.000 0.000
Pt 0.000 2.532 1.409
Pt 2.532 0.000 1.409
Br 2.532 2.532 0.000


4
Lattice="3.928 0.000 0.000 0.000 3.928 0.000 0.000 0.000 4.529" Properties=species:S:1:pos:R:3 comment="TaPt2Br PBE optimized geometry" raw_formation_energy_ev_per_atom=0.514 spacegroup="P4/mmm (123)" volume_a3_per_cell=69.9 total_magnetization_mub_per_fu=0.97 pbc="T T T"
Ta 0.000 0.000 0.000
Pt 0.000 1.964 2.265
Pt 1.964 0.000 2.265
Br 1.964 1.964 0.000


16
Lattice="6.601 0.000 0.000 0.000 6.601 0.000 0.000 0.000 6.601" Properties=species:S:1:pos:R:3 comment="TaPt2Br PBE optimized geometry" raw_formation_energy_ev_per_atom=0.345 spacegroup="Fm-3m (225)" volume_a3_per_cell=287.7 total_magnetization_mub_per_fu=0.00 pbc="T T T"
Ta 0.000 0.000 0.000
Ta 0.000 3.301 3.301
Ta 3.301 0.000 3.301
Ta 3.301 3.301 0.000
Pt 1.650 1.650 1.650
Pt 1.650 1.650 4.951
Pt 1.650 4.951 1.650
Pt 1.650 4.951 4.951
Pt 4.951 1.650 1.650
Pt 4.951 1.650 4.951
Pt 4.951 4.951 1.650
Pt 4.951 4.951 4.951
Br 0.000 0.000 3.301
Br 0.000 3.301 0.000
Br 3.301 0.000 0.000
Br 3.301 3.301 3.301


4
Lattice="2.822 0.000 0.000 0.000 3.273 0.000 0.000 0.000 8.362" Properties=species:S:1:pos:R:3 comment="TaPt2Br PBE optimized geometry" raw_formation_energy_ev_per_atom=-0.274 spacegroup="Pmmm (47)" volume_a3_per_cell=77.2 total_magnetization_mub_per_fu=0.00 pbc="T T T"
Ta 0.000 0.000 0.000
Pt 1.411 1.637 1.719
Pt 1.411 1.637 6.643
Br 1.411 0.000 4.181


4
Lattice="3.073 0.000 0.000 0.000 3.073 0.000 0.000 0.000 8.559" Properties=species:S:1:pos:R:3 comment="TaPtBr2 PBE optimized geometry" raw_formation_energy_ev_per_atom=0.491 spacegroup="P4/mmm (123)" volume_a3_per_cell=80.8 total_magnetization_mub_per_fu=0.00 pbc="T T T"
Ta 0.000 0.000 0.000
Pt 0.000 0.000 4.279
Br 1.537 1.537 1.684
Br 1.537 1.537 6.875


12
Lattice="6.294 0.000 0.000 0.000 6.294 0.000 0.000 0.000 6.294" Properties=species:S:1:pos:R:3 comment="TaPtBr PBE optimized geometry" raw_formation_energy_ev_per_atom=0.241 spacegroup="F-43m (216)" volume_a3_per_cell=249.3 total_magnetization_mub_per_fu=0.00 pbc="T T T"
Ta 0.000 0.000 0.000
Ta 0.000 3.147 3.147
Ta 3.147 0.000 3.147
Ta 3.147 3.147 0.000
Pt 1.573 1.573 4.720
Pt 1.573 4.720 1.573
Pt 4.720 1.573 1.573
Pt 4.720 4.720 4.720
Br 1.573 1.573 1.573
Br 1.573 4.720 4.720
Br 4.720 1.573 4.720
Br 4.720 4.720 1.573


4
Lattice="3.147 0.000 0.000 0.000 3.147 0.000 0.000 0.000 8.920" Properties=species:S:1:pos:R:3 comment="TaPtBr2 PBE optimized geometry" raw_formation_energy_ev_per_atom=-0.203 spacegroup="P4mm (99)" volume_a3_per_cell=88.3 total_magnetization_mub_per_fu=0.00 pbc="T T T"
Ta 0.000 0.000 0.000
Pt 1.573 1.573 7.317
Br 0.000 0.000 5.271
Br 1.573 1.573 1.782


12
Lattice="3.479 0.000 0.000 -1.739 3.012 0.000 0.000 0.000 23.396" Properties=species:S:1:pos:R:3 comment="TaPt2Br PBE optimized geometry" raw_formation_energy_ev_per_atom=-0.280 spacegroup="R-3m (166)" volume_a3_per_cell=245.2 total_magnetization_mub_per_fu=0.00 pbc="T T T"
Ta 0.000 0.000 0.000
Ta 0.000 2.008 15.598
Ta 1.739 1.004 7.799
Pt 0.000 0.000 6.131
Pt 0.000 0.000 17.266
Pt 0.000 2.008 9.467
Pt 0.000 2.008 21.728
Pt 1.739 1.004 1.668
Pt 1.739 1.004 13.929
Br 0.000 0.000 11.698
Br 0.000 2.008 3.899
Br 1.739 1.004 19.497


8
Lattice="4.342 0.000 0.000 0.000 4.342 0.000 0.000 0.000 7.558" Properties=species:S:1:pos:R:3 comment="TaPt2Br PBE optimized geometry" raw_formation_energy_ev_per_atom=0.342 spacegroup="I4/mmm (139)" volume_a3_per_cell=142.5 total_magnetization_mub_per_fu=0.00 pbc="T T T"
Ta 0.000 0.000 0.000
Ta 2.171 2.171 3.779
Pt 0.000 2.171 1.889
Pt 0.000 2.171 5.668
Pt 2.171 0.000 1.889
Pt 2.171 0.000 5.668
Br 0.000 0.000 3.779
Br 2.171 2.171 0.000